(1)
A plane-wave DFT calculation with GGA-PBE was carried out for crystalline Sb2RuPb at its relaxed geometry.

Properties
The formation energy without anion corrections comes out at 73 meV per atom. For the total magnetic moment, the calculation gives 0.0 μB/f.u. Its theoretical density is 9.119 Mg/m³. The calculation puts the volume at 25.12 A^3/atom.

abc: 9.737 9.737 9.737
angles: 160.95 160.51 27.39
Atoms (fractional coordinates):
Sb (0.000, 0.000, 0.000)
Sb (0.689, 0.189, 0.500)
Ru (0.576, 0.576, 0.000)
Pb (0.340, 0.840, 0.500)

---

(2)
A plane-wave DFT calculation with GGA-PBE was carried out for crystalline LiPuZn11 at its relaxed geometry.

Properties
For the total magnetic moment, the calculation gives 5.7 μB/f.u. Its theoretical density is 7.830 Mg/m³. The calculation puts the volume at 15.83 A^3/atom.

abc: 6.825 6.825 6.850
angles: 97.82 97.82 136.16
Atoms (fractional coordinates):
Li (0.000, 0.000, 0.000)
Pu (0.500, 0.500, 0.500)
Zn (0.000, 0.500, 0.500)
Zn (0.001, 0.786, 0.280)
Zn (0.140, 0.490, 0.144)
Zn (0.214, 0.999, 0.720)
Zn (0.490, 0.140, 0.144)
Zn (0.500, 0.000, 0.500)
Zn (0.500, 0.500, 0.000)
Zn (0.510, 0.860, 0.856)
Zn (0.786, 0.001, 0.280)
Zn (0.860, 0.510, 0.856)
Zn (0.999, 0.214, 0.720)

---

(3)
A plane-wave DFT calculation with GGA-PBE was carried out for crystalline LiScTlBr5 at its relaxed geometry.

Properties
The formation energy without anion corrections comes out at -1437 meV per atom. For the total magnetic moment, the calculation gives 0.0 μB/f.u. Its theoretical density is 4.132 Mg/m³. The calculation puts the volume at 32.94 A^3/atom.

abc: 7.670 7.670 10.190
angles: 103.11 103.11 107.72
Atoms (fractional coordinates):
Li (0.192, 0.808, 0.750)
Li (0.808, 0.192, 0.250)
Sc (0.500, 0.500, 0.000)
Sc (0.500, 0.500, 0.500)
Tl (0.151, 0.849, 0.250)
Tl (0.849, 0.151, 0.750)
Br (0.135, 0.263, 0.433)
Br (0.199, 0.590, 0.901)
Br (0.263, 0.135, 0.933)
Br (0.410, 0.801, 0.599)
Br (0.428, 0.572, 0.250)
Br (0.572, 0.428, 0.750)
Br (0.590, 0.199, 0.401)
Br (0.737, 0.865, 0.067)
Br (0.801, 0.410, 0.099)
Br (0.865, 0.737, 0.567)

---

(4)
A plane-wave DFT calculation with GGA-PBE was carried out for crystalline CaSm2Cd2 at its relaxed geometry.

Properties
For the total magnetic moment, the calculation gives 0.0 μB/f.u. Its theoretical density is 6.369 Mg/m³. The calculation puts the energy above the most stable polymorph in this dataset at 0.0 meV per atom. The calculation puts the volume at 29.49 A^3/atom.

abc: 14.279 14.279 5.477
angles: 90.00 90.00 164.69
Atoms (fractional coordinates):
Ca (0.145, 0.855, 0.750)
Ca (0.855, 0.145, 0.250)
Sm (0.047, 0.953, 0.250)
Sm (0.235, 0.765, 0.250)
Sm (0.765, 0.235, 0.750)
Sm (0.953, 0.047, 0.750)
Cd (0.357, 0.643, 0.750)
Cd (0.453, 0.547, 0.250)
Cd (0.547, 0.453, 0.750)
Cd (0.643, 0.357, 0.250)

---

(5)
A plane-wave DFT calculation with GGA-PBE was carried out for crystalline Na2SmZnSn2 at its relaxed geometry.

Properties
For the total magnetic moment, the calculation gives 0.0 μB/f.u. Its theoretical density is 5.129 Mg/m³. The calculation puts the volume at 26.93 A^3/atom.

abc: 4.753 8.900 7.640
angles: 90.00 90.00 90.00
Atoms (fractional coordinates):
Na (0.000, 0.080, 0.000)
Na (0.000, 0.920, 0.500)
Na (0.500, 0.151, 0.313)
Na (0.500, 0.849, 0.813)
Sm (0.500, 0.473, 0.997)
Sm (0.500, 0.527, 0.497)
Zn (0.000, 0.318, 0.634)
Zn (0.000, 0.682, 0.134)
Sn (0.000, 0.381, 0.266)
Sn (0.000, 0.619, 0.766)
Sn (0.500, 0.191, 0.728)
Sn (0.500, 0.809, 0.228)

---

(6)
A plane-wave DFT calculation with GGA-PBE was carried out for crystalline KH3O at its relaxed geometry.

Properties
For the total magnetic moment, the calculation gives 0.0 μB/f.u. Its theoretical density is 2.112 Mg/m³. The calculation puts the energy above the most stable polymorph in this dataset at 721.1 meV per atom. The calculation puts the volume at 9.14 A^3/atom.

abc: 3.575 3.575 3.575
angles: 90.00 90.00 90.00
Atoms (fractional coordinates):
K (0.000, 0.000, 0.000)
H (0.000, 0.500, 0.500)
H (0.500, 0.000, 0.500)
H (0.500, 0.500, 0.000)
O (0.500, 0.500, 0.500)

---

(7)
A plane-wave DFT calculation with GGA-PBE was carried out for crystalline Sb2As2Pb at its relaxed geometry.

Properties
The formation energy without anion corrections comes out at 248 meV per atom. For the total magnetic moment, the calculation gives 0.0 μB/f.u. Its theoretical density is 7.259 Mg/m³. The calculation puts the energy above the most stable polymorph in this dataset at 105.5 meV per atom. The calculation puts the volume at 27.47 A^3/atom.

abc: 7.884 7.884 7.884
angles: 147.97 147.97 45.93
Atoms (fractional coordinates):
Sb (0.250, 0.750, 0.500)
Sb (0.750, 0.250, 0.500)
As (0.086, 0.086, 0.000)
As (0.914, 0.914, 0.000)
Pb (0.500, 0.500, 0.000)

---

(8)
A plane-wave DFT calculation with GGA-PBE was carried out for crystalline PmReSb at its relaxed geometry.

Properties
The formation energy without anion corrections comes out at 229 meV per atom. For the total magnetic moment, the calculation gives 0.0 μB/f.u. Its theoretical density is 10.155 Mg/m³. The calculation puts the volume at 24.69 A^3/atom.

abc: 3.426 3.422 12.637
angles: 90.00 90.26 90.00
Atoms (fractional coordinates):
Pm (0.243, 0.250, 0.144)
Pm (0.757, 0.750, 0.856)
Re (0.253, 0.250, 0.700)
Re (0.747, 0.750, 0.300)
Sb (0.248, 0.250, 0.404)
Sb (0.752, 0.750, 0.596)

---

(9)
A plane-wave DFT calculation with GGA-PBE was carried out for crystalline LaPm8Tm6 at its relaxed geometry.

Properties
For the total magnetic moment, the calculation gives 0.0 μB/f.u. Its theoretical density is 7.500 Mg/m³. The calculation puts the energy above the most stable polymorph in this dataset at 47.3 meV per atom. The calculation puts the volume at 34.13 A^3/atom.

abc: 9.445 9.445 6.628
angles: 90.00 90.00 120.00
Atoms (fractional coordinates):
La (0.000, 0.000, 0.000)
Pm (0.015, 0.689, 0.610)
Pm (0.311, 0.326, 0.610)
Pm (0.326, 0.015, 0.390)
Pm (0.333, 0.667, 0.325)
Pm (0.667, 0.333, 0.675)
Pm (0.674, 0.985, 0.610)
Pm (0.689, 0.674, 0.390)
Pm (0.985, 0.311, 0.390)
Tm (0.086, 0.410, 0.895)
Tm (0.324, 0.914, 0.895)
Tm (0.410, 0.324, 0.105)
Tm (0.590, 0.676, 0.895)
Tm (0.676, 0.086, 0.105)
Tm (0.914, 0.590, 0.105)

---

(10)
A plane-wave DFT calculation with GGA-PBE was carried out for crystalline Zn2HW at its relaxed geometry.

Properties
For the total magnetic moment, the calculation gives 0.0 μB/f.u. Its theoretical density is 10.475 Mg/m³. The calculation puts the energy above the most stable polymorph in this dataset at 0.0 meV per atom. The calculation puts the volume at 12.51 A^3/atom.

abc: 5.123 5.123 5.123
angles: 115.90 115.90 97.26
Atoms (fractional coordinates):
Zn (0.375, 0.239, 0.364)
Zn (0.761, 0.125, 0.136)
Zn (0.875, 0.011, 0.636)
Zn (0.989, 0.625, 0.864)
H (0.000, 0.000, 0.000)
H (0.750, 0.250, 0.500)
W (0.250, 0.750, 0.500)
W (0.500, 0.500, 0.000)

---

(11)
A plane-wave DFT calculation with GGA-PBE was carried out for crystalline LaNdDy3Ho at its relaxed geometry.

Properties
For the total magnetic moment, the calculation gives 0.0 μB/f.u. Its theoretical density is 7.768 Mg/m³. The calculation puts the volume at 33.33 A^3/atom.

abc: 10.352 10.352 7.081
angles: 90.45 90.45 31.81
Atoms (fractional coordinates):
La (0.146, 0.146, 0.032)
La (0.854, 0.854, 0.968)
Nd (0.447, 0.447, 0.734)
Nd (0.553, 0.553, 0.266)
Dy (0.023, 0.023, 0.738)
Dy (0.280, 0.280, 0.755)
Dy (0.335, 0.335, 0.269)
Dy (0.665, 0.665, 0.731)
Dy (0.720, 0.720, 0.245)
Dy (0.977, 0.977, 0.262)
Ho (0.150, 0.150, 0.461)
Ho (0.850, 0.850, 0.539)

---

(12)
A plane-wave DFT calculation with GGA-PBE was carried out for crystalline Tm6HgPb at its relaxed geometry.

Properties
For the total magnetic moment, the calculation gives 0.0 μB/f.u. Its theoretical density is 10.360 Mg/m³. The calculation puts the volume at 28.48 A^3/atom.

abc: 9.655 9.655 9.655
angles: 149.75 149.75 43.31
Atoms (fractional coordinates):
Tm (0.116, 0.616, 0.500)
Tm (0.249, 0.249, 0.000)
Tm (0.384, 0.884, 0.500)
Tm (0.616, 0.116, 0.500)
Tm (0.751, 0.751, 0.000)
Tm (0.884, 0.384, 0.500)
Hg (0.000, 0.000, 0.000)
Pb (0.500, 0.500, 0.000)

---

Here are the calculated energy numbers, same order: -5.234 -2.446 -3.809 -2.909 -3.131 -2.731 -4.002 -6.878 -4.438 -3.987 -4.491 -4.078 (eV/atom).